one:
Na5CoO4 | GGA-PBEsol | optimized geometry

Summary:
As for the size of the total moment: 4.0 μB/f.u. The value obtained for the mass density is 2.96 g cm⁻³. As for the density of states at the Fermi level: 9.916 states/eV/cell.

Geometry as POSCAR:
```
Na5CoO4
1.0
7.563 0.000 0.000
0.000 6.020 0.000
0.000 0.000 5.870
Na Co O
10 2 8
Cartesian
0.000 1.043 0.000
1.393 3.407 1.876
1.507 0.685 2.945
2.275 5.335 0.010
2.388 2.613 4.811
3.781 4.977 2.935
5.175 2.613 4.811
5.288 5.335 0.010
6.056 0.685 2.945
6.170 3.407 1.876
0.000 4.072 4.420
3.781 1.948 1.485
0.000 2.253 3.815
0.000 4.538 0.353
1.677 4.638 3.798
2.105 1.382 0.863
3.781 1.482 3.288
3.781 3.767 0.880
5.458 1.382 0.863
5.886 4.638 3.798
```


two:
Na5CoO4 | GGA-PBEsol | optimized geometry

Summary:
As for the size of the total moment: 4.0 μB/f.u. The value obtained for the mass density is 2.91 g cm⁻³. As for the density of states at the Fermi level: 48.075 states/eV/cell.

Geometry as POSCAR:
```
Na5CoO4
1.0
5.933 0.000 0.000
0.000 17.861 0.000
0.000 0.000 10.251
Na Co O
40 8 32
Cartesian
0.412 2.492 2.077
0.412 6.439 7.202
0.448 1.174 9.641
0.448 7.756 4.515
0.504 8.954 1.629
0.504 17.837 6.755
0.620 11.982 8.496
0.620 14.810 3.370
0.627 13.359 5.942
0.627 13.432 0.816
2.339 4.429 5.942
2.339 4.502 0.816
2.347 3.051 8.496
2.347 5.880 3.370
2.462 0.024 1.629
2.462 8.907 6.755
2.518 10.105 9.641
2.518 16.687 4.515
2.554 11.422 2.077
2.554 15.369 7.202
3.379 2.492 3.049
3.379 6.439 8.174
3.414 1.174 5.736
3.414 7.756 0.610
3.470 8.954 3.496
3.470 17.837 8.622
3.586 11.982 6.881
3.586 14.810 1.755
3.594 13.359 9.435
3.594 13.432 4.310
5.306 4.429 9.435
5.306 4.502 4.310
5.313 3.051 6.881
5.313 5.880 1.755
5.429 0.024 3.496
5.429 8.907 8.622
5.485 10.105 5.736
5.485 16.687 0.610
5.520 11.422 3.049
5.520 15.369 8.174
1.022 2.211 4.717
1.022 6.719 9.843
1.945 11.142 4.717
1.945 15.650 9.843
3.988 2.211 0.408
3.988 6.719 5.534
4.911 11.142 0.408
4.911 15.650 5.534
0.833 11.091 0.505
0.833 15.701 5.631
1.160 9.744 3.777
1.160 17.048 8.902
1.413 12.716 3.821
1.413 14.076 8.947
1.431 11.165 6.526
1.431 15.627 1.401
1.535 2.235 6.526
1.535 6.696 1.401
1.553 3.786 3.821
1.553 5.145 8.947
1.806 0.813 3.777
1.806 8.118 8.902
2.133 2.160 0.505
2.133 6.770 5.631
3.799 11.091 4.620
3.799 15.701 9.746
4.127 9.744 1.349
4.127 17.048 6.475
4.380 12.716 1.304
4.380 14.076 6.430
4.397 11.165 8.850
4.397 15.627 3.725
4.502 2.235 8.850
4.502 6.696 3.725
4.520 3.786 1.304
4.520 5.145 6.430
4.773 0.813 1.349
4.773 8.118 6.475
5.100 2.160 4.620
5.100 6.770 9.746
```


two is favored, and the nearest alternative lies 10 meV/atom above it.


one:
Na6CoO4 | GGA-PBEsol | optimized geometry

Summary:
As for the size of the total moment: 3.1 μB/f.u. The value obtained for the mass density is 2.88 g cm⁻³. As for the density of states at the Fermi level: 18.796 states/eV/cell.

Geometry as POSCAR:
```
Na6CoO4
1.0
-5.315 5.315 5.315
5.315 -5.315 5.315
5.315 5.315 -5.315
Na Co O
24 4 16
Cartesian
3.396 1.091 -1.091
3.396 -1.091 1.091
6.345 1.469 -1.469
6.345 -1.469 1.469
7.235 1.091 1.091
1.091 3.396 -1.091
1.091 -1.091 3.396
3.847 3.847 -1.029
3.847 -1.029 3.847
4.286 1.469 1.469
-1.091 3.396 1.091
-1.091 1.091 3.396
1.469 6.345 -1.469
1.469 -1.469 6.345
1.469 4.286 1.469
1.469 1.469 4.286
4.225 4.225 1.919
4.225 1.919 4.225
-1.029 3.847 3.847
-1.469 6.345 1.469
-1.469 1.469 6.345
1.091 7.235 1.091
1.091 1.091 7.235
1.919 4.225 4.225
3.984 3.984 -3.984
3.984 -3.984 3.984
1.331 1.331 1.331
-3.984 3.984 3.984
0.000 0.000 0.000
4.933 2.749 -2.749
5.315 0.000 0.000
4.933 -2.749 2.749
2.749 4.933 -2.749
2.749 -2.749 4.933
2.566 2.566 0.383
2.566 0.383 2.566
0.383 2.566 2.566
0.000 5.315 0.000
0.000 0.000 5.315
5.698 2.749 2.749
-2.749 4.933 2.749
-2.749 2.749 4.933
2.749 5.698 2.749
2.749 2.749 5.698
```


two:
Na6CoO4 | GGA-PBEsol | optimized geometry

Summary:
As for the size of the total moment: 3.1 μB/f.u. The value obtained for the mass density is 2.95 g cm⁻³. As for the density of states at the Fermi level: 5.286 states/eV/cell.

Geometry as POSCAR:
```
Na6CoO4
1.0
7.379 0.000 0.000
0.000 7.379 0.000
0.000 0.000 5.391
Na Co O
12 2 8
Cartesian
0.292 3.982 1.348
0.292 7.087 1.348
1.845 1.845 0.794
1.845 1.845 3.489
3.398 3.982 1.348
3.398 7.087 1.348
3.982 0.292 4.043
3.982 3.398 4.043
5.535 5.535 1.902
5.535 5.535 4.598
7.087 0.292 4.043
7.087 3.398 4.043
1.845 5.535 4.043
5.535 1.845 1.348
0.052 5.535 3.123
1.845 3.741 4.964
1.845 7.328 4.964
3.638 5.535 3.123
3.741 1.845 2.268
5.535 0.052 0.427
5.535 3.638 0.427
7.328 1.845 2.268
```


two is favored, and the nearest alternative lies 32 meV/atom above it.


one:
Nb2CoO6 | GGA-PBEsol | optimized geometry

Summary:
As for the size of the total moment: 3.0 μB/f.u. The value obtained for the mass density is 5.63 g cm⁻³. As for the density of states at the Fermi level: 21.541 states/eV/cell.

Geometry as POSCAR:
```
Nb2CoO6
1.0
14.099 0.000 0.000
0.000 5.694 0.000
0.000 0.000 5.007
Nb Co O
8 4 24
Cartesian
2.236 1.029 1.181
2.236 4.665 3.684
4.814 1.818 3.684
4.814 3.875 1.181
9.285 1.818 3.826
9.285 3.875 1.323
11.863 1.029 1.323
11.863 4.665 3.826
0.000 2.033 3.755
0.000 3.660 1.252
7.049 0.814 1.252
7.049 4.880 3.755
1.090 2.175 2.077
1.090 3.518 4.580
1.306 0.640 4.535
1.306 5.054 2.031
3.444 0.674 2.838
3.444 5.019 0.334
3.605 2.172 0.334
3.605 3.521 2.838
5.744 2.207 2.031
5.744 3.487 4.535
5.959 0.672 4.580
5.959 5.022 2.077
8.139 0.672 2.930
8.139 5.022 0.426
8.355 2.207 0.472
8.355 3.487 2.975
10.494 2.172 2.169
10.494 3.521 4.672
10.654 0.674 4.672
10.654 5.019 2.169
12.793 0.640 2.975
12.793 5.054 0.472
13.008 2.175 0.426
13.008 3.518 2.930
```


two:
Nb2CoO6 | GGA-PBEsol | optimized geometry

Summary:
As for the size of the total moment: 3.0 μB/f.u. The value obtained for the mass density is 5.54 g cm⁻³. As for the density of states at the Fermi level: 10.106 states/eV/cell.

Geometry as POSCAR:
```
Nb2CoO6
1.0
4.771 0.000 0.000
0.000 4.771 0.000
0.000 0.000 8.979
Nb Co O
4 2 12
Cartesian
0.000 0.000 1.528
0.000 0.000 7.451
2.385 2.385 2.962
2.385 2.385 6.017
0.000 0.000 4.489
2.385 2.385 0.000
0.935 0.935 0.000
0.970 0.970 2.974
0.970 0.970 6.005
1.416 3.355 1.515
1.416 3.355 7.463
1.451 3.320 4.489
3.320 1.451 4.489
3.355 1.416 1.515
3.355 1.416 7.463
3.801 3.801 2.974
3.801 3.801 6.005
3.836 3.836 0.000
```


three:
Nb2CoO6 | GGA-PBEsol | optimized geometry

Summary:
As for the size of the total moment: 3.0 μB/f.u. The value obtained for the mass density is 5.54 g cm⁻³. As for the density of states at the Fermi level: 8.370 states/eV/cell.

Geometry as POSCAR:
```
Nb2CoO6
1.0
4.510 -3.357 0.000
4.510 3.357 0.000
-2.886 0.000 6.745
Nb Co O
4 2 12
Cartesian
0.000 0.000 0.000
-1.443 0.000 3.372
0.609 0.000 5.524
5.524 0.000 1.221
2.128 0.000 2.319
4.006 0.000 4.426
2.043 2.023 2.263
0.024 0.000 1.999
1.971 0.000 0.202
4.510 1.320 0.000
4.091 2.023 4.482
2.065 0.000 4.295
4.069 0.000 2.450
2.043 -2.023 2.263
4.510 -1.320 0.000
4.163 0.000 6.543
6.110 0.000 4.746
4.091 -2.023 4.482
```


one is favored, and the nearest alternative lies 22 meV/atom above it.


one:
Co2Ni3 | GGA-PBEsol | optimized geometry

Summary:
As for the size of the total moment: 5.3 μB/f.u. The value obtained for the mass density is 9.30 g cm⁻³. As for the density of states at the Fermi level: 11.681 states/eV/cell.

Geometry as POSCAR:
```
Co2Ni3
1.0
0.000 5.955 2.144
4.111 0.000 2.144
4.111 5.955 0.000
Co Ni
4 6
Cartesian
4.277 3.545 2.144
6.001 6.523 3.216
3.945 8.365 2.144
6.332 11.342 3.216
3.849 1.197 2.046
1.793 1.781 0.974
2.318 4.174 0.974
4.111 5.955 1.980
6.167 8.933 3.052
4.373 10.713 2.046
```


two:
Co2Ni3 | GGA-PBEsol | optimized geometry

Summary:
As for the size of the total moment: 5.2 μB/f.u. The value obtained for the mass density is 9.41 g cm⁻³. As for the density of states at the Fermi level: 5.571 states/eV/cell.

Geometry as POSCAR:
```
Co2Ni3
1.0
1.222 0.706 10.019
-1.222 0.706 10.019
0.000 -1.411 10.019
Co Ni
2 3
Cartesian
0.000 0.000 3.002
0.000 0.000 27.055
0.000 0.000 9.005
0.000 0.000 15.029
0.000 0.000 21.052
```


two is favored, and the nearest alternative lies 84 meV/atom above it.


one:
Co5Ni | GGA-PBEsol | optimized geometry

Summary:
As for the size of the total moment: 8.5 μB/f.u. The value obtained for the mass density is 9.48 g cm⁻³. As for the density of states at the Fermi level: 4.991 states/eV/cell.

Geometry as POSCAR:
```
Co5Ni
1.0
3.960 0.000 0.000
0.000 1.224 6.385
0.000 -1.224 6.385
Co Ni
5 1
Cartesian
0.000 0.000 0.000
0.000 0.000 4.258
0.000 0.000 8.505
1.980 0.000 1.404
1.980 0.000 5.672
1.980 0.000 9.932
```


two:
Co5Ni | GGA-PBEsol | optimized geometry

Summary:
As for the size of the total moment: 9.1 μB/f.u. The value obtained for the mass density is 8.97 g cm⁻³. As for the density of states at the Fermi level: 8.389 states/eV/cell.

Geometry as POSCAR:
```
Co5Ni
1.0
0.000 3.198 3.198
3.198 0.000 3.198
3.198 3.198 0.000
Co Ni
5 1
Cartesian
0.000 0.000 0.000
2.400 2.400 2.400
3.997 3.997 2.400
3.997 2.400 3.997
2.400 3.997 3.997
4.798 4.798 4.798
```


three:
Co5Ni | GGA-PBEsol | optimized geometry

Summary:
As for the size of the total moment: 8.7 μB/f.u. The value obtained for the mass density is 9.44 g cm⁻³. As for the density of states at the Fermi level: 6.744 states/eV/cell.

Geometry as POSCAR:
```
Co5Ni
1.0
1.732 -5.168 0.000
1.732 5.168 0.000
0.000 0.000 3.470
Co Ni
5 1
Cartesian
0.000 0.000 0.000
1.732 3.440 1.735
1.732 1.722 0.000
1.732 -1.722 0.000
1.732 -3.440 1.735
1.732 0.000 1.735
```


one is favored, and the nearest alternative lies 20 meV/atom above it.


one:
CoNiOs2 | GGA-PBEsol | optimized geometry

Summary:
As for the size of the total moment: 2.1 μB/f.u. The value obtained for the mass density is 16.25 g cm⁻³. As for the density of states at the Fermi level: 5.741 states/eV/cell.

Geometry as POSCAR:
```
CoNiOs2
1.0
2.586 -4.278 0.000
2.586 4.278 0.000
-1.171 0.000 2.301
Co Ni Os
1 1 2
Cartesian
0.000 0.000 0.000
2.586 0.000 0.000
0.708 2.139 1.150
0.708 -2.139 1.150
```


two:
CoNiOs2 | GGA-PBEsol | optimized geometry

Summary:
As for the size of the total moment: 1.6 μB/f.u. The value obtained for the mass density is 16.52 g cm⁻³. As for the density of states at the Fermi level: 4.893 states/eV/cell.

Geometry as POSCAR:
```
CoNiOs2
1.0
1.321 0.763 8.277
-1.321 0.763 8.277
0.000 -1.526 8.277
Co Ni Os
1 1 2
Cartesian
0.000 0.000 0.000
0.000 0.000 18.494
0.000 0.000 6.218
0.000 0.000 12.303
```


three:
CoNiOs2 | GGA-PBEsol | optimized geometry

Summary:
As for the size of the total moment: 1.6 μB/f.u. The value obtained for the mass density is 16.97 g cm⁻³. As for the density of states at the Fermi level: 5.855 states/eV/cell.

Geometry as POSCAR:
```
CoNiOs2
1.0
0.000 2.899 2.899
2.899 0.000 2.899
2.899 2.899 0.000
Co Ni Os
1 1 2
Cartesian
0.000 0.000 0.000
2.899 2.899 2.899
1.450 1.450 1.450
4.349 4.349 4.349
```


two is favored, and the nearest alternative lies 166 meV/atom above it.


one:
CoNi2Ru | GGA-PBEsol | optimized geometry

Summary:
As for the size of the total moment: 0.0 μB/f.u. The value obtained for the mass density is 10.51 g cm⁻³. As for the density of states at the Fermi level: 4.627 states/eV/cell.

Geometry as POSCAR:
```
CoNi2Ru
1.0
-1.754 1.754 3.561
1.754 -1.754 3.561
1.754 1.754 -3.561
Co Ni Ru
1 2 1
Cartesian
0.000 0.000 0.000
0.000 0.000 3.561
0.000 1.754 1.780
1.754 0.000 1.780
```


two:
CoNi2Ru | GGA-PBEsol | optimized geometry

Summary:
As for the size of the total moment: 2.2 μB/f.u. The value obtained for the mass density is 10.31 g cm⁻³. As for the density of states at the Fermi level: 6.428 states/eV/cell.

Geometry as POSCAR:
```
CoNi2Ru
1.0
2.495 0.000 0.000
0.000 3.597 0.000
0.000 0.000 4.978
Co Ni Ru
1 2 1
Cartesian
0.000 0.000 0.000
1.248 1.799 1.217
1.248 1.799 3.761
0.000 0.000 2.489
```


one is favored, and the nearest alternative lies 39 meV/atom above it.